The following is a PBE with a Hubbard U calculation of FePO4 after structural relaxation, from Alexandria.

CIF file:
```
data_FePO4
_cell_length_a 5.1949
_cell_length_b 5.1949
_cell_length_c 11.5546
_cell_angle_alpha 90.00
_cell_angle_beta 90.00
_cell_angle_gamma 120.00
_symmetry_space_group_name_H-M 'P 31 2 1'
_symmetry_Int_Tables_number 152
loop_
_symmetry_equiv_pos_as_xyz
'x,y,z'
'-y,x-y,z+1/3'
'-x+y,-x,z+2/3'
'y,x,-z'
'x-y,-y,-z+2/3'
'-x,-x+y,-z+1/3'
loop_
_atom_site_label
_atom_site_type_symbol
_atom_site_fract_x
_atom_site_fract_y
_atom_site_fract_z
_atom_site_occupancy
Fe1 Fe 0.0000 0.4664 0.1667 1
P1 P 0.0000 0.4662 0.6667 1
O1 O 0.1159 0.6969 0.7659 1
O2 O 0.1657 0.7494 0.2867 1
```

Output
For the total energy, the calculation gives -7.102 eV per atom.